# BaCaSbTe2 | Alexandria via LeMat-Bulk | GGA-PBE | relaxed
# Uncorrected formation energy: -0.6662 eV per atom
# Raw total energy: -3.53 eV per atom
# Symmetry: P4/mmm
# D(E_F): 5.0 states/eV/f.u.
# Magnetization: 0.000 μB/cell
data_BaCaSbTe2
_cell_length_a 5.902
_cell_length_b 5.902
_cell_length_c 5.724
_cell_angle_alpha 90.00
_cell_angle_beta 90.00
_cell_angle_gamma 90.00
_symmetry_space_group_name_H-M 'P 1'
_symmetry_Int_Tables_number 1
_symmetry_space_group_name_Hall 'P 1'
loop_
_atom_site_label
_atom_site_type_symbol
_atom_site_fract_x
_atom_site_fract_y
_atom_site_fract_z
Te1 Te 0.500 0.000 0.000
Te2 Te 0.000 0.500 0.000
Ca1 Ca 0.000 0.000 0.000
Ba1 Ba 0.500 0.500 0.500
Sb1 Sb 0.000 0.000 0.500